A plane-wave DFT calculation with PBE was carried out for BeSi2OsPt after structural relaxation.

The formation energy from raw total energies is 0.8147 eV/atom. As for the density of states at the Fermi level: 3.132 states/eV/f.u. For the magnetization, the calculation gives 0.00 μB per formula unit. The value obtained for the volume is 71 Å³ per cell. The value obtained for the total energy is -5.554 eV/atom.

The space group is P4/mmm (No. 123) and the conventional cell measures 4.1859, 4.1859 and 4.0440 Å, with angles of 90.00, 90.00 and 90.00 degrees. The distinct sites, in fractional coordinates, are Be at (0.0000, 0.0000, 0.0000), Si at (0.0000, 0.5000, 0.0000), Os at (0.5000, 0.5000, 0.5000) and Pt at (0.0000, 0.0000, 0.5000).